(1)
First-principles (GGA-PBE) data for SmDySnRu after structural relaxation, as listed in the Alexandria database.

a = 5.1260 Å, b = 5.1260 Å, c = 5.1260 Å
α = 60.00°, β = 60.00°, γ = 60.00°
Fractional positions:
1 Dy 0.5000 0.5000 0.5000
2 Sn 0.7500 0.7500 0.7500
3 Ru 0.2500 0.2500 0.2500
4 Sm 0.0000 0.0000 0.0000

Results
* ΔE_f: -367 meV per atom
* DOS at the Fermi energy: 0.66 states/eV/atom



(2)
First-principles (GGA-PBE) data for SmDyTlRu after structural relaxation, as listed in the Alexandria database.

a = 5.1354 Å, b = 5.1354 Å, c = 5.1354 Å
α = 60.00°, β = 60.00°, γ = 60.00°
Fractional positions:
1 Tl 0.2500 0.2500 0.2500
2 Ru 0.7500 0.7500 0.7500
3 Sm 0.0000 0.0000 0.0000
4 Dy 0.5000 0.5000 0.5000

Results
* ΔE_f: -217 meV per atom
* DOS at the Fermi energy: 0.54 states/eV/atom



(3)
First-principles (GGA-PBE) data for Sm2DyU2Ru5 after structural relaxation, as listed in the Alexandria database.

a = 3.5741 Å, b = 10.7418 Å, c = 10.7418 Å
α = 90.00°, β = 90.00°, γ = 90.00°
Fractional positions:
1 Ru 0.5000 0.0515 0.7854
2 Ru 0.5000 0.5515 0.7146
3 Ru 0.5000 0.2146 0.0515
4 Ru 0.5000 0.7146 0.4485
5 Ru 0.5000 0.7854 0.9485
6 Ru 0.5000 0.5000 0.0000
7 Ru 0.5000 0.2854 0.5515
8 Ru 0.5000 0.0000 0.5000
9 Ru 0.5000 0.9485 0.2146
10 Ru 0.5000 0.4485 0.2854
11 Sm 0.0000 0.6753 0.1753
12 Sm 0.0000 0.1753 0.3247
13 Sm 0.0000 0.8247 0.6753
14 Sm 0.0000 0.3247 0.8247
15 Dy 0.0000 0.0000 0.0000
16 Dy 0.0000 0.5000 0.5000
17 U 0.0000 0.8646 0.3646
18 U 0.0000 0.3646 0.1354
19 U 0.0000 0.1354 0.6354
20 U 0.0000 0.6354 0.8646

Results
* ΔE_f: -250 meV per atom
* DOS at the Fermi energy: 0.72 states/eV/atom



(4)
First-principles (GGA-PBE) data for SmDy2U2Ru5 after structural relaxation, as listed in the Alexandria database.

a = 3.6479 Å, b = 10.6034 Å, c = 10.6034 Å
α = 90.00°, β = 90.00°, γ = 90.00°
Fractional positions:
1 Dy 0.0000 0.3251 0.8251
2 Dy 0.0000 0.6749 0.1749
3 Dy 0.0000 0.8251 0.6749
4 Dy 0.0000 0.1749 0.3251
5 Ru 0.5000 0.9452 0.2159
6 Ru 0.5000 0.2841 0.5548
7 Ru 0.5000 0.5000 0.0000
8 Ru 0.5000 0.5548 0.7159
9 Ru 0.5000 0.7841 0.9452
10 Ru 0.5000 0.7159 0.4452
11 Ru 0.5000 0.4452 0.2841
12 Ru 0.5000 0.0548 0.7841
13 Ru 0.5000 0.2159 0.0548
14 Ru 0.5000 0.0000 0.5000
15 U 0.0000 0.3671 0.1329
16 U 0.0000 0.8671 0.3671
17 U 0.0000 0.1329 0.6329
18 U 0.0000 0.6329 0.8671
19 Sm 0.0000 0.5000 0.5000
20 Sm 0.0000 0.0000 0.0000

Results
* ΔE_f: -260 meV per atom
* DOS at the Fermi energy: 0.71 states/eV/atom



(5)
First-principles (GGA-PBE) data for SmDyZnRu after structural relaxation, as listed in the Alexandria database.

a = 3.9892 Å, b = 4.3038 Å, c = 5.6891 Å
α = 90.00°, β = 110.52°, γ = 90.00°
Fractional positions:
1 Dy 0.1375 0.0000 0.2750
2 Ru 0.5749 0.5000 0.1499
3 Zn 0.4317 0.0000 0.8633
4 Sm 0.8559 0.5000 0.7118

Results
* ΔE_f: -300 meV per atom
* excess energy over the best structure of this formula in the dataset: 11 meV/atom
* DOS at the Fermi energy: 1.06 states/eV/atom



(6)
First-principles (GGA-PBE) data for SmDyZnRu after structural relaxation, as listed in the Alexandria database.

a = 4.9676 Å, b = 4.9676 Å, c = 4.9676 Å
α = 60.00°, β = 60.00°, γ = 60.00°
Fractional positions:
1 Dy 0.5000 0.5000 0.5000
2 Sm 0.0000 0.0000 0.0000
3 Zn 0.7500 0.7500 0.7500
4 Ru 0.2500 0.2500 0.2500

Results
* ΔE_f: -311 meV per atom
* excess energy over the best structure of this formula in the dataset: 0 meV/atom
* DOS at the Fermi energy: 0.75 states/eV/atom